No. 1
Density functional theory data (PBE-GGA) for Tb3Y5Sc2 after structural relaxation.

```
Tb3Y5Sc2
1.0
5.311 -7.954 0.000
5.311 7.954 0.000
-5.300 0.000 7.455
Tb Y Sc
6 10 4
Cartesian
1.346 2.026 0.362
1.336 4.450 5.591
-1.304 -2.026 4.089
6.627 2.026 3.366
3.986 -4.450 1.864
3.977 -2.026 7.093
1.336 7.589 5.591
-1.284 2.181 5.525
3.986 3.495 1.864
1.366 -2.181 1.798
3.986 0.293 1.864
1.336 -0.293 5.591
3.957 2.181 5.657
1.336 -3.495 5.591
6.607 -2.181 1.930
3.986 -7.589 1.864
1.348 2.116 3.386
-1.302 -2.116 7.114
6.624 2.116 0.341
3.974 -2.116 4.069
```

Values from the calculation:
crystal system = monoclinic
DOS(E_F) = 37.40 states/eV/cell
volume = 31.5 Å³ per atom
energy of formation from the pure elements = 1.89 eV per formula unit


No. 2
Density functional theory data (PBE-GGA) for Tb2Y15Sc2 after structural relaxation.

```
Tb2Y15Sc2
1.0
5.559 3.209 5.883
-5.559 3.209 5.883
0.000 -6.419 5.883
Tb Y Sc
2 15 2
Cartesian
0.000 0.000 3.194
0.000 0.000 14.455
-2.779 -1.605 5.883
0.000 -3.307 5.345
-2.864 1.654 5.345
-1.637 -2.836 8.825
-3.275 0.000 8.825
-2.864 -1.654 12.305
-2.779 1.605 11.766
1.637 -2.836 8.825
0.000 3.209 5.883
-1.637 2.836 8.825
2.864 1.654 5.345
3.275 0.000 8.825
1.637 2.836 8.825
2.864 -1.654 12.305
0.000 3.307 12.305
0.000 0.000 7.235
0.000 0.000 10.414
```

Values from the calculation:
crystal system = trigonal
DOS(E_F) = 37.07 states/eV/cell
volume = 33.1 Å³ per atom
energy of formation from the pure elements = 5.76 eV per formula unit


No. 3
Density functional theory data (PBE-GGA) for Tb7Y2Sc2 after structural relaxation.

```
Tb7Y2Sc2
1.0
3.574 0.000 0.000
-1.780 9.688 0.000
-1.779 -3.899 10.022
Tb Y Sc
7 2 2
Cartesian
0.000 0.000 0.000
-1.780 5.083 3.707
0.003 -1.125 3.788
0.001 3.735 0.973
0.014 2.054 9.049
0.012 6.914 6.234
1.795 0.706 6.315
-1.772 4.215 7.168
1.787 1.573 2.853
0.008 7.051 1.524
0.007 -1.263 8.498
```

Values from the calculation:
crystal system = triclinic
relative energy among the computed polymorphs = 0.000 eV/atom
DOS(E_F) = 16.41 states/eV/cell
volume = 31.5 Å³ per atom
energy of formation from the pure elements = 1.36 eV per formula unit


No. 4
Density functional theory data (PBE-GGA) for Tb6YSc2 after structural relaxation.

```
Tb6YSc2
1.0
6.709 -6.484 0.000
6.709 6.484 0.000
-1.723 0.000 6.322
Tb Y Sc
12 2 4
Cartesian
2.000 2.673 4.635
4.619 4.642 6.319
6.214 4.642 3.164
4.786 1.167 1.165
2.862 -2.673 1.474
3.925 -1.167 4.327
7.770 1.167 1.996
8.833 2.673 4.848
6.909 -1.167 5.157
5.480 -4.642 3.158
7.076 -4.642 0.003
9.695 -2.673 1.687
5.417 1.808 4.742
6.278 -1.808 1.581
1.827 0.361 2.368
0.965 -0.361 5.529
10.730 0.361 0.793
9.868 -0.361 3.954
```

Values from the calculation:
crystal system = monoclinic
relative energy among the computed polymorphs = 0.059 eV/atom
DOS(E_F) = 19.94 states/eV/cell
volume = 30.6 Å³ per atom
energy of formation from the pure elements = 1.20 eV per formula unit


No. 5
Density functional theory data (PBE-GGA) for Tb6Y16Sc7 after structural relaxation.

```
Tb6Y16Sc7
1.0
0.000 7.712 7.712
7.712 0.000 7.712
7.712 7.712 0.000
Tb Y Sc
6 16 7
Cartesian
7.712 7.712 3.243
7.712 3.243 7.712
12.181 7.712 7.712
3.243 7.712 7.712
7.712 12.181 7.712
7.712 7.712 12.181
9.546 5.878 5.878
2.394 2.394 2.394
5.318 5.318 2.394
5.318 2.394 5.318
5.878 5.878 5.878
9.546 9.546 5.878
9.546 5.878 9.546
13.030 10.106 10.106
2.394 5.318 5.318
5.878 9.546 5.878
5.878 5.878 9.546
9.546 9.546 9.546
10.106 13.030 10.106
10.106 10.106 13.030
13.030 13.030 13.030
5.878 9.546 9.546
3.856 3.856 0.000
3.856 0.000 3.856
7.712 3.856 3.856
0.000 3.856 3.856
3.856 7.712 3.856
3.856 3.856 7.712
7.712 7.712 7.712
```

Values from the calculation:
crystal system = cubic
DOS(E_F) = 54.41 states/eV/cell
volume = 31.6 Å³ per atom
energy of formation from the pure elements = 6.12 eV per formula unit


No. 6
Density functional theory data (PBE-GGA) for TbYZrSc after structural relaxation.

```
TbYZrSc
1.0
7.624 0.000 0.000
0.000 7.624 0.000
0.000 0.000 7.624
Tb Y Zr Sc
4 4 4 4
Cartesian
0.000 0.000 0.000
0.000 3.812 3.812
3.812 0.000 3.812
3.812 3.812 0.000
0.000 0.000 3.812
0.000 3.812 0.000
3.812 0.000 0.000
3.812 3.812 3.812
1.906 1.906 1.906
1.906 5.718 5.718
5.718 1.906 5.718
5.718 5.718 1.906
1.906 1.906 5.718
1.906 5.718 1.906
5.718 1.906 1.906
5.718 5.718 5.718
```

Values from the calculation:
crystal system = cubic
DOS(E_F) = 29.83 states/eV/cell
volume = 27.7 Å³ per atom
energy of formation from the pure elements = 0.77 eV per formula unit


No. 7
Density functional theory data (PBE-GGA) for Tb2YZrSc4 after structural relaxation.

```
Tb2YZrSc4
1.0
4.792 0.000 0.000
0.000 4.809 0.000
0.000 0.000 9.281
Tb Y Zr Sc
2 1 1 4
Cartesian
0.000 0.000 0.000
2.396 2.405 4.641
0.000 0.000 4.641
2.396 2.405 0.000
0.000 2.405 2.205
0.000 2.405 7.076
2.396 0.000 2.208
2.396 0.000 7.073
```

Values from the calculation:
crystal system = orthorhombic
DOS(E_F) = 12.30 states/eV/cell
volume = 26.7 Å³ per atom
energy of formation from the pure elements = 0.46 eV per formula unit


No. 8
Density functional theory data (PBE-GGA) for TbScZn17 after structural relaxation.

```
TbScZn17
1.0
4.456 2.573 4.370
-4.456 2.573 4.370
0.000 -5.145 4.370
Tb Sc Zn
1 1 17
Cartesian
0.000 0.000 0.000
0.000 0.000 8.751
-1.354 -2.301 4.389
-2.670 -0.022 4.389
-2.254 -1.301 6.783
0.000 0.000 3.119
0.000 -2.619 6.552
-2.268 1.310 6.552
1.354 -2.301 4.389
-1.316 2.324 4.389
0.000 0.000 5.750
-2.109 -1.218 10.754
2.670 -0.022 4.389
1.316 2.324 4.389
2.254 -1.301 6.783
0.000 2.603 6.783
2.268 1.310 6.552
2.109 -1.218 10.754
0.000 2.436 10.754
```

Values from the calculation:
crystal system = trigonal
DOS(E_F) = 3.55 states/eV/cell
volume = 15.8 Å³ per atom
energy of formation from the pure elements = -3.84 eV per formula unit


No. 9
Density functional theory data (PBE-GGA) for TbScZn after structural relaxation.

```
TbScZn
1.0
2.394 1.382 7.921
-2.394 1.382 7.921
0.000 -2.765 7.921
Tb Sc Zn
2 2 2
Cartesian
0.000 0.000 2.848
0.000 0.000 20.914
0.000 0.000 8.774
0.000 0.000 14.988
0.000 0.000 6.020
0.000 0.000 17.742
```

Values from the calculation:
crystal system = trigonal
relative energy among the computed polymorphs = 0.244 eV/atom
DOS(E_F) = 8.77 states/eV/cell
volume = 26.2 Å³ per atom
energy of formation from the pure elements = 0.13 eV per formula unit


No. 10
Density functional theory data (PBE-GGA) for TbSc2Zn3 after structural relaxation.

```
TbSc2Zn3
1.0
3.425 0.000 0.000
0.000 3.425 0.000
0.000 0.000 10.310
Tb Sc Zn
1 2 3
Cartesian
0.000 0.000 0.000
0.000 0.000 3.507
0.000 0.000 6.803
1.713 1.713 1.933
1.713 1.713 5.155
1.713 1.713 8.377
```

Values from the calculation:
crystal system = tetragonal
DOS(E_F) = 6.00 states/eV/cell
volume = 20.2 Å³ per atom
energy of formation from the pure elements = -2.10 eV per formula unit


No. 11
Density functional theory data (PBE-GGA) for TbSc5Zn4 after structural relaxation.

```
TbSc5Zn4
1.0
3.357 0.000 0.000
0.000 3.357 0.000
0.000 0.000 18.363
Tb Sc Zn
1 5 4
Cartesian
0.000 0.000 0.000
1.678 1.678 2.500
1.678 1.678 5.835
1.678 1.678 9.182
1.678 1.678 12.528
1.678 1.678 15.863
0.000 0.000 4.159
0.000 0.000 7.489
0.000 0.000 10.875
0.000 0.000 14.205
```

Values from the calculation:
crystal system = tetragonal
DOS(E_F) = 11.94 states/eV/cell
volume = 20.7 Å³ per atom
energy of formation from the pure elements = -2.82 eV per formula unit


No. 12
Density functional theory data (PBE-GGA) for TbSc5Zn6 after structural relaxation.

```
TbSc5Zn6
1.0
7.551 -3.415 0.000
7.551 3.415 0.000
-1.490 0.000 4.538
Tb Sc Zn
1 5 6
Cartesian
0.000 0.000 0.000
1.500 0.000 3.017
4.518 0.000 1.506
7.551 0.000 0.000
9.095 0.000 3.032
12.113 0.000 1.521
3.734 1.643 3.764
6.806 1.580 2.269
9.878 1.643 0.775
3.734 -1.643 3.764
6.806 -1.580 2.269
9.878 -1.643 0.775
```

Values from the calculation:
crystal system = monoclinic
DOS(E_F) = 11.89 states/eV/cell
volume = 19.5 Å³ per atom
energy of formation from the pure elements = -4.28 eV per formula unit


Q: Which of these has the highest energy of formation from the pure elements?
A: Tb6Y16Sc7


Repeat the third record exactly.
Density functional theory data (PBE-GGA) for Tb7Y2Sc2 after structural relaxation.

```
Tb7Y2Sc2
1.0
3.574 0.000 0.000
-1.780 9.688 0.000
-1.779 -3.899 10.022
Tb Y Sc
7 2 2
Cartesian
0.000 0.000 0.000
-1.780 5.083 3.707
0.003 -1.125 3.788
0.001 3.735 0.973
0.014 2.054 9.049
0.012 6.914 6.234
1.795 0.706 6.315
-1.772 4.215 7.168
1.787 1.573 2.853
0.008 7.051 1.524
0.007 -1.263 8.498
```

Values from the calculation:
crystal system = triclinic
relative energy among the computed polymorphs = 0.000 eV/atom
DOS(E_F) = 16.41 states/eV/cell
volume = 31.5 Å³ per atom
energy of formation from the pure elements = 1.36 eV per formula unit


Q: What is the formula in the tenth record?
A: TbSc2Zn3